Entry from Alexandria: crystalline Nd2AlGa3Cu12 at its relaxed geometry (PBE).

POSCAR file:
```
Nd2AlGa3Cu12
1.0
-6.3967 -1.8454 3.6814
-2.3828 -7.1712 -0.8786
0.8432 -4.5407 6.0454
Cu Ga Nd Al
12 3 2 1
direct
0.3552 0.0186 0.3552
0.6474 0.1363 0.1363
0.0186 0.3552 0.3552
0.1363 0.1363 0.6474
0.6448 0.9814 0.6448
0.8637 0.3526 0.8637
0.1363 0.6474 0.1363
0.9814 0.6448 0.6448
0.3552 0.3552 0.0186
0.6448 0.6448 0.9814
0.8637 0.8637 0.3526
0.3526 0.8637 0.8637
0.5000 0.0000 0.0000
0.0000 0.5000 0.0000
0.0000 0.0000 0.5000
0.3992 0.3992 0.3992
0.6008 0.6008 0.6008
0.0000 0.0000 0.0000
```

Properties
Calculated total energy (eV per atom): -3.776
SG: R-3m (166)
Energy of formation (kcal/mol of atoms): 4.54

Entry from Alexandria: crystalline TlCdS2 at its relaxed geometry (PBE).

POSCAR file:
```
TlCdS2
1.0
3.9437 0.0000 0.0000
-1.9719 3.4153 0.0000
0.0000 0.0000 6.9576
Cd Tl S
1 1 2
direct
0.0000 0.0000 0.0000
0.0000 0.0000 0.5000
0.6667 0.3333 0.7783
0.3333 0.6667 0.2217
```

Properties
Formation energy without anion corrections (eV per atom): -0.28
Calculated total energy (eV per atom): -3.165
SG: P-3m1 (164)
Excess energy over the best structure of this formula in the dataset (eV per formula unit): 0.22

Entry from Alexandria: crystalline Ag5P4 at its relaxed geometry (PBE).

POSCAR file:
```
Ag5P4
1.0
-1.3705 -4.0902 7.1450
-0.4061 -4.0636 -7.2788
5.1366 -1.1248 0.3414
P Ag
8 10
direct
0.0000 0.4135 0.2500
0.0000 0.5865 0.7500
0.5865 0.0000 0.7500
0.4135 0.4135 0.7500
0.5865 0.5865 0.2500
0.4135 0.0000 0.2500
0.0000 0.0000 0.5000
0.0000 0.0000 0.0000
0.6667 0.3333 0.0000
0.2842 0.0000 0.7500
0.3333 0.6667 0.5000
0.7158 0.0000 0.2500
0.0000 0.2842 0.7500
0.0000 0.7158 0.2500
0.7158 0.7158 0.7500
0.3333 0.6667 0.0000
0.2842 0.2842 0.2500
0.6667 0.3333 0.5000
```

Properties
Calculated total energy (eV per atom): -3.574
SG: P6_3/mcm (193)
Excess energy over the best structure of this formula in the dataset (eV per formula unit): 0.00
Energy of formation (kcal/mol of atoms): 9.56

Entry from Alexandria: crystalline Ce3GePd at its relaxed geometry (PBE).

POSCAR file:
```
Ce3GePd
1.0
-5.2384 -2.3175 -0.6090
2.8672 -4.8610 -6.1638
2.3297 -7.0020 6.6058
Ce Pd Ge
12 4 4
direct
0.7284 0.7771 0.2500
0.9962 0.8715 0.5896
0.0038 0.1285 0.4104
0.4962 0.6285 0.5896
0.7716 0.2771 0.7500
0.2284 0.7229 0.2500
0.5038 0.3715 0.4104
0.2716 0.2229 0.7500
0.0038 0.1285 0.0896
0.4962 0.6285 0.9104
0.9962 0.8715 0.9104
0.5038 0.3715 0.0896
0.9748 0.4176 0.2500
0.5252 0.9176 0.7500
0.4748 0.0824 0.2500
0.0252 0.5824 0.7500
0.0000 0.5000 0.5000
0.0000 0.5000 0.0000
0.5000 0.0000 0.5000
0.5000 0.0000 0.0000
```

Properties
Calculated total energy (eV per atom): -5.984
SG: Pnma (62)
Energy of formation (kcal/mol of atoms): -10.66